(1)
DFT (PBE-GGA) results for CaBi3Pd3 after structural relaxation.

Values from the calculation:
Theoretical density = 7560 kg/m3
DFT formation energy = -0.52 eV/f.u.
Energy above the most stable polymorph in this dataset = 367 meV per atom

Lattice parameters (Å, degrees): 7.567 7.567 7.567 90.00 90.00 90.00
Fractional positions:
Ca 0.000 0.000 0.000
Ca 0.500 0.500 0.500
Bi 0.000 0.250 0.500
Bi 0.000 0.750 0.500
Bi 0.250 0.500 0.000
Bi 0.500 0.000 0.250
Bi 0.500 0.000 0.750
Bi 0.750 0.500 0.000
Pd 0.000 0.500 0.250
Pd 0.000 0.500 0.750
Pd 0.250 0.000 0.500
Pd 0.500 0.250 0.000
Pd 0.500 0.750 0.000
Pd 0.750 0.000 0.500


(2)
DFT (PBE-GGA) results for RbMo2Ru after structural relaxation.

Values from the calculation:
Theoretical density = 5679 kg/m3
DFT formation energy = 6.89 eV/f.u.
Energy above the most stable polymorph in this dataset = 30 meV per atom

Lattice parameters (Å, degrees): 9.287 9.287 9.287 148.23 148.23 45.54
Fractional positions:
Rb 0.375 0.625 0.750
Rb 0.625 0.375 0.250
Mo 0.000 0.000 0.000
Mo 0.000 0.000 0.500
Mo 0.000 0.500 0.000
Mo 0.500 0.000 0.500
Ru 0.125 0.875 0.250
Ru 0.875 0.125 0.750


(3)
DFT (PBE-GGA) results for La2RuPbC after structural relaxation.

Values from the calculation:
Theoretical density = 8390 kg/m3
DFT formation energy = -1.54 eV/f.u.

Lattice parameters (Å, degrees): 5.441 5.441 3.998 90.00 90.00 90.00
Fractional positions:
La 0.000 0.500 0.000
La 0.500 0.000 0.000
Ru 0.000 0.000 0.500
Pb 0.500 0.500 0.500
C 0.000 0.000 0.000


(4)
DFT (PBE-GGA) results for Sr4TaPt after structural relaxation.

Values from the calculation:
Theoretical density = 5984 kg/m3
DFT formation energy = 7.11 eV/f.u.

Lattice parameters (Å, degrees): 6.582 6.582 6.582 60.00 60.00 60.00
Fractional positions:
Sr 0.125 0.125 0.125
Sr 0.125 0.125 0.624
Sr 0.125 0.624 0.125
Sr 0.624 0.125 0.125
Ta 0.750 0.750 0.750
Pt 0.500 0.500 0.500


(5)
DFT (PBE-GGA) results for CaNd2Dy3 after structural relaxation.

Values from the calculation:
Theoretical density = 6328 kg/m3
DFT formation energy = 1.29 eV/f.u.

Lattice parameters (Å, degrees): 6.739 6.739 10.888 90.00 90.00 120.00
Fractional positions:
Ca 0.333 0.667 0.437
Ca 0.667 0.333 0.563
Nd 0.000 0.000 0.000
Nd 0.000 0.000 0.500
Nd 0.333 0.667 0.075
Nd 0.667 0.333 0.925
Dy 0.169 0.338 0.759
Dy 0.169 0.831 0.759
Dy 0.338 0.169 0.241
Dy 0.662 0.831 0.759
Dy 0.831 0.169 0.241
Dy 0.831 0.662 0.241


(6)
DFT (PBE-GGA) results for Tl2FeBr5 after structural relaxation.

Values from the calculation:
Theoretical density = 4442 kg/m3
Energy above the most stable polymorph in this dataset = 104 meV per atom

Lattice parameters (Å, degrees): 8.738 8.738 13.605 90.00 90.00 141.55
Fractional positions:
Tl 0.153 0.847 0.586
Tl 0.153 0.847 0.914
Tl 0.847 0.153 0.086
Tl 0.847 0.153 0.414
Fe 0.158 0.842 0.250
Fe 0.842 0.158 0.750
Br 0.055 0.945 0.122
Br 0.055 0.945 0.378
Br 0.269 0.731 0.116
Br 0.269 0.731 0.384
Br 0.317 0.683 0.750
Br 0.683 0.317 0.250
Br 0.731 0.269 0.616
Br 0.731 0.269 0.884
Br 0.945 0.055 0.622
Br 0.945 0.055 0.878


(7)
DFT (PBE-GGA) results for LiPm2ZrS5 after structural relaxation.

Values from the calculation:
Raw total energy = -6.283 eV per atom
Theoretical density = 4930 kg/m3

Lattice parameters (Å, degrees): 8.391 8.391 11.698 90.00 90.00 153.35
Fractional positions:
Li 0.041 0.959 0.500
Li 0.959 0.041 0.000
Pm 0.369 0.631 0.344
Pm 0.392 0.608 0.730
Pm 0.608 0.392 0.230
Pm 0.631 0.369 0.844
Zr 0.303 0.697 0.052
Zr 0.697 0.303 0.552
S 0.005 0.995 0.816
S 0.141 0.859 0.042
S 0.189 0.811 0.398
S 0.216 0.784 0.706
S 0.449 0.551 0.103
S 0.551 0.449 0.603
S 0.784 0.216 0.206
S 0.811 0.189 0.898
S 0.859 0.141 0.542
S 0.995 0.005 0.316


(8)
DFT (PBE-GGA) results for CsSiH after structural relaxation.

Values from the calculation:
Theoretical density = 2904 kg/m3
Energy above the most stable polymorph in this dataset = 0 meV per atom

Lattice parameters (Å, degrees): 9.247 4.089 9.800 90.00 90.00 90.00
Fractional positions:
Cs 0.168 0.250 0.191
Cs 0.332 0.750 0.691
Cs 0.668 0.250 0.309
Cs 0.832 0.750 0.809
Si 0.041 0.250 0.563
Si 0.459 0.750 0.063
Si 0.541 0.250 0.937
Si 0.959 0.750 0.437
H 0.197 0.250 0.499
H 0.303 0.750 0.999
H 0.697 0.250 0.001
H 0.803 0.750 0.501